w | Entry from the Alexandria database: a relaxed PmEr2In crystal (GGA-PBE).

The space group is Fm-3m (No. 225) and the conventional cell measures 7.7108, 7.7108 and 7.7108 Å, with angles of 90.00, 90.00 and 90.00 degrees. The asymmetric unit holds Pm at (0.0000, 0.0000, 0.0000), Er at (0.2500, 0.2500, 0.2500) and In at (0.0000, 0.0000, 0.5000).

The magnetic moment is 5.57 Bohr magnetons per cell. The density is 8.61 g/cm3.

x | Entry from the Alexandria database: a relaxed PmEr2In crystal (GGA-PBE).

The space group is P4/mmm (No. 123) and the conventional cell measures 3.5939, 3.5939 and 9.1343 Å, with angles of 90.00, 90.00 and 90.00 degrees. The asymmetric unit holds Pm at (0.0000, 0.0000, 0.0000), Er at (0.5000, 0.5000, 0.2768) and In at (0.0000, 0.0000, 0.5000).

The magnetic moment is 0.00 Bohr magnetons per cell. The density is 8.37 g/cm3.

x ends up most stable, edging out the next structure by 152 meV per atom.

w | Entry from the Alexandria database: a relaxed PmEr3In crystal (GGA-PBE).

The space group is Cmcm (No. 63) and the conventional cell measures 4.8301, 25.1263 and 4.8166 Å, with angles of 90.00, 90.00 and 90.00 degrees. The asymmetric unit holds Pm at (0.0000, 0.1480, 0.2500), Er at (0.0000, 0.0473, 0.7500), Er at (0.0000, 0.2503, 0.7500), Er at (0.0000, 0.4485, 0.7500) and In at (0.0000, 0.3466, 0.2500).

The magnetic moment is 0.01 Bohr magnetons per cell. The density is 8.65 g/cm3.

x | Entry from the Alexandria database: a relaxed PmEr3In crystal (GGA-PBE).

The space group is P6_3/mmc (No. 194) and the conventional cell measures 7.9913, 7.9913 and 5.9481 Å, with angles of 90.00, 90.00 and 120.00 degrees. The asymmetric unit holds Pm at (0.3333, 0.6667, 0.2500), Er at (0.1938, 0.3875, 0.7500) and In at (0.0000, 0.0000, 0.0000).

The magnetic moment is 0.00 Bohr magnetons per cell. The density is 7.69 g/cm3.

w ends up most stable, edging out the next structure by 249 meV per atom.

w | Entry from the Alexandria database: a relaxed PmErTmIn crystal (GGA-PBE).

The space group is I-4m2 (No. 119) and the conventional cell measures 5.7497, 5.7497 and 6.9491 Å, with angles of 90.00, 90.00 and 90.00 degrees. The asymmetric unit holds Pm at (0.0000, 0.0000, 0.0000), Er at (0.0000, 0.5000, 0.7500), Tm at (0.0000, 0.5000, 0.2500) and In at (0.0000, 0.0000, 0.5000).

The magnetic moment is 0.00 Bohr magnetons per cell. The density is 8.62 g/cm3.

x | Entry from the Alexandria database: a relaxed PmErTmIn crystal (GGA-PBE).

The space group is F-43m (No. 216) and the conventional cell measures 7.7155, 7.7155 and 7.7155 Å, with angles of 90.00, 90.00 and 90.00 degrees. The asymmetric unit holds Pm at (0.0000, 0.0000, 0.0000), Er at (0.0000, 0.0000, 0.5000), Tm at (0.2500, 0.2500, 0.7500) and In at (0.2500, 0.2500, 0.2500).

The magnetic moment is 2.17 Bohr magnetons per cell. The density is 8.62 g/cm3.

x ends up most stable, edging out the next structure by 36 meV per atom.

w | Entry from the Alexandria database: a relaxed PmErZnIn crystal (GGA-PBE).

The space group is P4mm (No. 99) and the conventional cell measures 3.6656, 3.6656 and 7.5210 Å, with angles of 90.00, 90.00 and 90.00 degrees. The asymmetric unit holds Pm at (0.0000, 0.0000, 0.0000), Er at (0.0000, 0.0000, 0.4607), Zn at (0.5000, 0.5000, 0.2490) and In at (0.5000, 0.5000, 0.7188).

The magnetic moment is 0.00 Bohr magnetons per cell. The density is 8.09 g/cm3.

x | Entry from the Alexandria database: a relaxed PmErZnIn crystal (GGA-PBE).

The space group is F-43m (No. 216) and the conventional cell measures 7.4240, 7.4240 and 7.4240 Å, with angles of 90.00, 90.00 and 90.00 degrees. The asymmetric unit holds Pm at (0.0000, 0.0000, 0.0000), Er at (0.0000, 0.0000, 0.5000), Zn at (0.2500, 0.2500, 0.2500) and In at (0.2500, 0.2500, 0.7500).

The magnetic moment is 0.00 Bohr magnetons per cell. The density is 7.99 g/cm3.

w ends up most stable, edging out the next structure by 26 meV per atom.

w | Entry from the Alexandria database: a relaxed Pr3Er2In crystal (GGA-PBE).

The space group is Cmmm (No. 65) and the conventional cell measures 5.0363, 15.2790 and 4.9327 Å, with angles of 90.00, 90.00 and 90.00 degrees. The asymmetric unit holds Pr at (0.0000, 0.0000, 0.0000), Pr at (0.0000, 0.3302, 0.0000), Er at (0.0000, 0.1630, 0.5000) and In at (0.0000, 0.5000, 0.5000).

The magnetic moment is 0.00 Bohr magnetons per cell. The density is 7.63 g/cm3.

x | Entry from the Alexandria database: a relaxed Pr3Er2In crystal (GGA-PBE).

The space group is C2/m (No. 12) and the conventional cell measures 17.0931, 3.5666 and 13.1117 Å, with angles of 90.00, 102.61 and 90.00 degrees. The asymmetric unit holds Pr at (0.0807, 0.0000, 0.2171), Pr at (0.0848, 0.5000, 0.9668), Pr at (0.2370, 0.0000, 0.6189), Er at (0.0800, 0.5000, 0.4502), Er at (0.2329, 0.0000, 0.8794) and In at (0.0883, 0.5000, 0.7114).

The magnetic moment is 0.00 Bohr magnetons per cell. The density is 7.43 g/cm3.

w ends up most stable, edging out the next structure by 117 meV per atom.

w | Entry from the Alexandria database: a relaxed Pr3Er3In2 crystal (GGA-PBE).

The space group is Pmmm (No. 47) and the conventional cell measures 4.8851, 4.9009 and 9.9466 Å, with angles of 90.00, 90.00 and 90.00 degrees. The asymmetric unit holds Pr at (0.0000, 0.0000, 0.0000), Pr at (0.0000, 0.0000, 0.5000), Pr at (0.5000, 0.5000, 0.0000), Er at (0.5000, 0.0000, 0.2533), Er at (0.5000, 0.5000, 0.5000) and In at (0.0000, 0.5000, 0.2552).

The magnetic moment is 0.00 Bohr magnetons per cell. The density is 8.05 g/cm3.

x | Entry from the Alexandria database: a relaxed Pr3Er3In2 crystal (GGA-PBE).

The space group is Cmcm (No. 63) and the conventional cell measures 5.1269, 11.9010 and 16.7226 Å, with angles of 90.00, 90.00 and 90.00 degrees. The asymmetric unit holds Pr at (0.0000, 0.0459, 0.1036), Pr at (0.0000, 0.2760, 0.2500), Er at (0.0000, 0.3626, 0.0411), Er at (0.0000, 0.4436, 0.7500) and In at (0.0000, 0.2398, 0.6263).

The magnetic moment is 0.00 Bohr magnetons per cell. The density is 7.51 g/cm3.

w ends up most stable, edging out the next structure by 96 meV per atom.